Entry 1:
# PBE Cd2RhO4, optimized geometry
# ΔE_f (raw) = -18.372 kcal/mol of atoms
data_Cd2RhO4
_cell_length_a 10.533
_cell_length_b 3.246
_cell_length_c 5.830
_cell_angle_alpha 90.00
_cell_angle_beta 116.67
_cell_angle_gamma 90.00
_space_group_name_H-M_alt 'C 1 2/m 1'
_space_group_IT_number 12
_space_group_name_Hall '-C 2y'
loop_
_atom_site_label
_atom_site_type_symbol
_atom_site_fract_x
_atom_site_fract_y
_atom_site_fract_z
Cd1 Cd 0.177 0.000 0.172
Rh1 Rh 0.000 0.500 0.500
O1 O 0.108 0.500 0.878
O2 O 0.124 0.000 0.497

---

Entry 2:
# PBE Nd4SmCd2, optimized geometry
# Energy of formation = 0.1974 eV/atom
data_Nd4SmCd2
_cell_length_a 5.2705
_cell_length_b 5.2705
_cell_length_c 30.9721
_cell_angle_alpha 90.00
_cell_angle_beta 90.00
_cell_angle_gamma 120.00
_space_group_name_H-M_alt 'R -3 m'
_space_group_IT_number 166
_space_group_name_Hall '-R 3 2"'
loop_
_atom_site_label
_atom_site_type_symbol
_atom_site_fract_x
_atom_site_fract_y
_atom_site_fract_z
Nd1 Nd 0.0000 0.0000 0.1123
Nd2 Nd 0.0000 0.0000 0.2949
Sm1 Sm 0.0000 0.0000 0.5000
Cd1 Cd 0.0000 0.0000 0.4001

---

no.,calculated total energy (eV/cell)
1,-69.18
2,-72.72